(1)
This record from OQMD describes crystalline Fe3AgSn5 at its relaxed geometry. The functional is PBE.

abc: 5.2069 5.2069 7.8580
angles: 90.00 90.00 120.00
Each line ends with the local moment (μB).
Fractional coordinates of all 9 atoms:
Ag 0.0000 0.0000 0.0000  -0.01
Fe 0.5000 0.0000 0.5000  1.96
Fe 0.0000 0.5000 0.5000  1.93
Fe 0.5000 0.5000 0.5000  2.02
Sn 0.6667 0.3333 0.2062  -0.06
Sn 0.3333 0.6667 0.2062  -0.06
Sn 0.0000 0.0000 0.5000  -0.14
Sn 0.6667 0.3333 0.7938  -0.06
Sn 0.3333 0.6667 0.7938  -0.06

Properties
The calculation puts the total energy at -5.204 eV/atom. The value obtained for the calculated volume is 185 Å³ per cell. As for the space-group type: P6/mmm, No. 191. The spin magnetization comes out at 5.399 μB per cell.



(2)
This record from OQMD describes crystalline U3Cu3Sn4 at its relaxed geometry. The functional is PBE.

abc: 8.2438 8.2438 8.2438
angles: 109.47 109.47 109.47
Each line ends with the local moment (μB).
Fractional coordinates of all 20 atoms:
Cu 0.7500 0.3750 0.1250  -0.02
Cu 0.6250 0.8750 0.2500  -0.03
Cu 0.2500 0.1250 0.3750  -0.02
Cu 0.3750 0.7500 0.6250  -0.03
Cu 0.8750 0.6250 0.7500  -0.03
Cu 0.1250 0.2500 0.8750  -0.02
Sn 0.1686 0.0000 0.0000  -0.07
Sn 0.6686 0.0000 0.0000  -0.07
Sn 0.5000 0.5000 0.1686  -0.07
Sn 0.3314 0.8314 0.3314  -0.07
Sn 0.0000 0.6686 0.5000  -0.07
Sn 0.0000 0.1686 0.5000  -0.06
Sn 0.5000 0.5000 0.6686  -0.07
Sn 0.8314 0.3314 0.8314  -0.07
U 0.8750 0.7500 0.1250  1.91
U 0.1250 0.3750 0.2500  1.89
U 0.6250 0.2500 0.3750  1.90
U 0.7500 0.8750 0.6250  1.88
U 0.3750 0.1250 0.7500  1.90
U 0.2500 0.6250 0.8750  1.88

Properties
The calculation puts the total energy at -6.125 eV/atom. The value obtained for the calculated volume is 431 Å³ per cell. As for the space-group type: I-43d, No. 220. The spin magnetization comes out at 11.172 μB per cell.



Q: Among the records above, which one has the lowest calculated volume?
A: Fe3AgSn5